Below is crystalline Mn2CF at its relaxed geometry, with properties calculated at the GGA+U level.

Values from the calculation:
The uncorrected energy is -6.416 eV per atom. The value obtained for the polymorph energy (0 for the lowest one) is 1.323 eV/f.u. The space group is Fm-3m.

CIF file:
```
data_Mn2CF
_chemical_formula_sum 'Mn2 C1 F1'
_symmetry_space_group_name_H-M 'P 1'
_symmetry_Int_Tables_number 1
_cell_length_a 4.050
_cell_length_b 4.050
_cell_length_c 4.050
_cell_angle_alpha 60.00
_cell_angle_beta 60.00
_cell_angle_gamma 60.00
loop_
_symmetry_equiv_pos_as_xyz
'x,y,z'
loop_
_atom_site_label
_atom_site_type_symbol
_atom_site_fract_x
_atom_site_fract_y
_atom_site_fract_z
Mn1 Mn 0.250 0.250 0.250
Mn2 Mn 0.750 0.750 0.750
C1 C 0.000 0.000 0.000
F1 F 0.500 0.500 0.500
```